Below is a relaxed Rb2CoPbF6 crystal, with properties calculated at the GGA+U level.

ρ (g/cm³): 5.0
Raw total energy (eV per atom): -4.655

Structure (POSCAR):
```
Rb2CoPbF6
1.0
6.326 0.000 0.000
0.000 6.326 0.000
3.163 3.163 4.555
Rb F Co Pb
2 6 1 1
direct
0.750 0.250 0.500 Rb
0.250 0.750 0.500 Rb
0.728 0.728 0.000 F
0.734 0.734 0.532 F
0.272 0.728 0.000 F
0.728 0.272 0.000 F
0.266 0.266 0.468 F
0.272 0.272 0.000 F
0.500 0.500 0.000 Co
0.000 0.000 0.000 Pb
```